The following is a GGA+U calculation of a relaxed Ba2CoAs2O8 crystal, from OQMD.

uncorrected energy: -6.309 eV/atom
magnetization: 0.2308 μB/atom
volume: 15.32 A^3/atom

The structure in CIF format:
```
data_Ba2CoAs2O8
_space_group_name_H-M_alt 'P -1'
_space_group_IT_number 2
_space_group_name_Hall '-P 1'
_cell_length_a 5.147
_cell_length_b 5.725
_cell_length_c 7.167
_cell_angle_alpha 74.89
_cell_angle_beta 84.61
_cell_angle_gamma 77.93
loop_
_atom_site_label
_atom_site_type_symbol
_atom_site_fract_x
_atom_site_fract_y
_atom_site_fract_z
Ba1 Ba 0.230 0.020 0.195
Co1 Co 0.000 0.500 0.500
As1 As 0.365 0.593 0.745
O1 O 0.166 0.764 0.554
O2 O 0.279 0.309 0.794
O3 O 0.289 0.763 0.914
O4 O 0.304 0.410 0.317
```